# MgZrHg2 (PBE, optimized geometry)
data_MgZrHg2
_chemical_formula_sum 'Mg1 Zr1 Hg2'
_cell_length_a 3.234
_cell_length_b 4.666
_cell_length_c 6.010
_cell_angle_alpha 90.00
_cell_angle_beta 105.53
_cell_angle_gamma 90.00
_space_group_name_H-M_alt 'P 1 m 1'
_space_group_IT_number 6
loop_
_space_group_symop_operation_xyz
'x,y,z'
'x,-y,z'
loop_
_atom_site_label
_atom_site_type_symbol
_atom_site_fract_x
_atom_site_fract_y
_atom_site_fract_z
Mg1 Mg 0.000 0.000 0.000
Zr1 Zr 0.668 0.500 0.336
Hg1 Hg 0.254 0.000 0.512
Hg2 Hg 0.416 0.500 0.834
# VASP energy (eV/cell): -11.27
# ρ (g/cm3): 9.8
# Magnetization (μB per atom): 0.00



# ThTi2 (PBE, optimized geometry)
data_ThTi2
_chemical_formula_sum 'Th2 Ti4'
_cell_length_a 3.636
_cell_length_b 3.636
_cell_length_c 9.960
_cell_angle_alpha 90.00
_cell_angle_beta 90.00
_cell_angle_gamma 90.00
_space_group_name_H-M_alt 'I 4/m m m'
_space_group_IT_number 139
_space_group_name_Hall '-I 4 2'
loop_
_atom_site_label
_atom_site_type_symbol
_atom_site_fract_x
_atom_site_fract_y
_atom_site_fract_z
Th1 Th 0.000 0.000 0.000
Ti1 Ti 0.000 0.000 0.311
# VASP energy (eV/cell): -45.35
# ρ (g/cm3): 8.3
# Magnetization (μB per atom): 0.00



# CrFe2Ir (PBE, optimized geometry)
data_CrFe2Ir
_chemical_formula_sum 'Cr2 Fe4 Ir2'
_cell_length_a 8.556
_cell_length_b 2.651
_cell_length_c 4.474
_cell_angle_alpha 90.00
_cell_angle_beta 100.51
_cell_angle_gamma 90.00
_space_group_name_H-M_alt 'C 1 m 1'
_space_group_IT_number 8
loop_
_space_group_symop_operation_xyz
'x,y,z'
'x,-y,z'
'x+1/2,y+1/2,z'
'x+1/2,-y+1/2,z'
loop_
_atom_site_label
_atom_site_type_symbol
_atom_site_fract_x
_atom_site_fract_y
_atom_site_fract_z
Cr1 Cr 0.000 0.000 0.000
Fe1 Fe 0.001 0.500 0.517
Fe2 Fe 0.252 0.000 0.755
Ir1 Ir 0.249 0.500 0.254
# VASP energy (eV/cell): -70.73
# ρ (g/cm3): 11.8
# Magnetization (μB per atom): 0.68



# Cd3TcBi (PBE, optimized geometry)
data_Cd3TcBi
_chemical_formula_sum 'Cd3 Tc1 Bi1'
_cell_length_a 5.250
_cell_length_b 5.250
_cell_length_c 5.250
_cell_angle_alpha 90.00
_cell_angle_beta 90.00
_cell_angle_gamma 90.00
_space_group_name_H-M_alt 'P m -3 m'
_space_group_IT_number 221
_space_group_name_Hall '-P 4 2 3'
loop_
_atom_site_label
_atom_site_type_symbol
_atom_site_fract_x
_atom_site_fract_y
_atom_site_fract_z
Cd1 Cd 0.000 0.000 0.500
Tc1 Tc 0.000 0.000 0.000
Bi1 Bi 0.500 0.500 0.500
# Energy above the most stable polymorph in this dataset (meV/atom): 0.0
# VASP energy (eV/cell): -12.89
# ρ (g/cm3): 7.4
# Magnetization (μB per atom): 0.45



Question: Among the records above, which one has the lowest ρ?
Answer: Cd3TcBi